# BaErSc4Se8 (PBE-GGA, relaxed)
# E_form (uncorrected) = -1.627 eV/atom
data_BaErSc4Se8
_cell_length_a 8.2243
_cell_length_b 8.2243
_cell_length_c 20.7738
_cell_angle_alpha 90.00
_cell_angle_beta 90.00
_cell_angle_gamma 120.00
_space_group_name_H-M_alt 'R 3 m'
_space_group_IT_number 160
_space_group_name_Hall 'R 3 -2"'
loop_
_atom_site_label
_atom_site_type_symbol
_atom_site_fract_x
_atom_site_fract_y
_atom_site_fract_z
Ba1 Ba 0.0000 0.0000 0.0000
Er1 Er 0.0000 0.0000 0.6346
Sc1 Sc 0.0000 0.0000 0.2586
Sc2 Sc 0.1675 0.3349 0.4648
Se1 Se 0.0000 0.0000 0.3888
Se2 Se 0.0000 0.0000 0.8584
Se3 Se 0.0446 0.5223 0.3931
Se4 Se 0.1738 0.3476 0.2126


# MgPa2O7 (PBE-GGA, relaxed)
# E_form (uncorrected) = -2.937 eV/atom
data_MgPa2O7
_cell_length_a 6.550
_cell_length_b 3.914
_cell_length_c 10.032
_cell_angle_alpha 90.00
_cell_angle_beta 97.89
_cell_angle_gamma 90.00
_space_group_name_H-M_alt 'C 1 2/m 1'
_space_group_IT_number 12
loop_
_space_group_symop_operation_xyz
'x,y,z'
'-x,-y,-z'
'-x,y,-z'
'x,-y,z'
'x+1/2,y+1/2,z'
'-x+1/2,-y+1/2,-z'
'-x+1/2,y+1/2,-z'
'x+1/2,-y+1/2,z'
loop_
_atom_site_label
_atom_site_type_symbol
_atom_site_fract_x
_atom_site_fract_y
_atom_site_fract_z
Mg1 Mg 0.000 0.000 0.000
Pa1 Pa 0.035 0.500 0.711
O1 O 0.000 0.500 0.500
O2 O 0.096 0.500 0.964
O3 O 0.115 0.000 0.201
O4 O 0.195 0.000 0.669


# Ca3Dy3AgSe8 (PBE-GGA, relaxed)
# E_form (uncorrected) = -1.675 eV/atom
data_Ca3Dy3AgSe8
_cell_length_a 8.2365
_cell_length_b 8.2365
_cell_length_c 20.3775
_cell_angle_alpha 90.00
_cell_angle_beta 90.00
_cell_angle_gamma 120.00
_space_group_name_H-M_alt 'R -3 m'
_space_group_IT_number 166
_space_group_name_Hall '-R 3 2"'
loop_
_atom_site_label
_atom_site_type_symbol
_atom_site_fract_x
_atom_site_fract_y
_atom_site_fract_z
Ca1 Ca 0.0000 0.5000 0.0000
Dy1 Dy 0.0000 0.5000 0.5000
Ag1 Ag 0.0000 0.0000 0.5000
Se1 Se 0.0000 0.0000 0.2478
Se2 Se 0.0095 0.5048 0.7525


# ZrBr2Cl (PBE-GGA, relaxed)
# energy above the lowest structure with this stoichiometry = 0.598 eV/atom
# E_form (uncorrected) = -0.821 eV/atom
data_ZrBr2Cl
_cell_length_a 3.6389
_cell_length_b 3.6389
_cell_length_c 25.6421
_cell_angle_alpha 90.00
_cell_angle_beta 90.00
_cell_angle_gamma 120.00
_space_group_name_H-M_alt 'R -3 m'
_space_group_IT_number 166
_space_group_name_Hall '-R 3 2"'
loop_
_atom_site_label
_atom_site_type_symbol
_atom_site_fract_x
_atom_site_fract_y
_atom_site_fract_z
Zr1 Zr 0.0000 0.0000 0.0000
Br1 Br 0.0000 0.0000 0.2641
Cl1 Cl 0.0000 0.0000 0.5000


# La3AsI3 (PBE-GGA, relaxed)
# energy above the lowest structure with this stoichiometry = 0.022 eV/atom
# E_form (uncorrected) = -1.436 eV/atom
data_La3AsI3
_cell_length_a 9.229
_cell_length_b 4.396
_cell_length_c 12.699
_cell_angle_alpha 90.00
_cell_angle_beta 90.90
_cell_angle_gamma 90.00
_space_group_name_H-M_alt 'P 1 21/m 1'
_space_group_IT_number 11
loop_
_space_group_symop_operation_xyz
'x,y,z'
'-x,-y,-z'
'-x,y+1/2,-z'
'x,-y+1/2,z'
loop_
_atom_site_label
_atom_site_type_symbol
_atom_site_fract_x
_atom_site_fract_y
_atom_site_fract_z
La1 La 0.097 0.250 0.116
La2 La 0.123 0.250 0.652
La3 La 0.337 0.750 0.879
As1 As 0.122 0.250 0.883
I1 I 0.140 0.250 0.382
I2 I 0.378 0.750 0.625
I3 I 0.380 0.750 0.141


# Ba3TiPb (PBE-GGA, relaxed)
# energy above the lowest structure with this stoichiometry = 0.000 eV/atom
# ΔH_f (0 K) = 2.6 eV/f.u.
data_Ba3TiPb
_cell_length_a 6.139
_cell_length_b 6.139
_cell_length_c 6.139
_cell_angle_alpha 90.00
_cell_angle_beta 90.00
_cell_angle_gamma 90.00
_space_group_name_H-M_alt 'P m -3 m'
_space_group_IT_number 221
_space_group_name_Hall '-P 4 2 3'
loop_
_atom_site_label
_atom_site_type_symbol
_atom_site_fract_x
_atom_site_fract_y
_atom_site_fract_z
Ba1 Ba 0.000 0.000 0.500
Ti1 Ti 0.000 0.000 0.000
Pb1 Pb 0.500 0.500 0.500


# HoSi2Ir (PBE-GGA, relaxed)
# E_form (uncorrected) = -0.870 eV/atom
data_HoSi2Ir
_cell_length_a 4.0844
_cell_length_b 4.0844
_cell_length_c 14.5770
_cell_angle_alpha 90.00
_cell_angle_beta 90.00
_cell_angle_gamma 120.00
_space_group_name_H-M_alt 'R -3 m'
_space_group_IT_number 166
_space_group_name_Hall '-R 3 2"'
loop_
_atom_site_label
_atom_site_type_symbol
_atom_site_fract_x
_atom_site_fract_y
_atom_site_fract_z
Ho1 Ho 0.0000 0.0000 0.0000
Si1 Si 0.0000 0.0000 0.2133
Ir1 Ir 0.0000 0.0000 0.5000


# Gd2PdSe (PBE-GGA, relaxed)
# E_form (uncorrected) = -1.261 eV/atom
data_Gd2PdSe
_cell_length_a 4.0285
_cell_length_b 4.0285
_cell_length_c 21.6333
_cell_angle_alpha 90.00
_cell_angle_beta 90.00
_cell_angle_gamma 120.00
_space_group_name_H-M_alt 'R -3 m'
_space_group_IT_number 166
_space_group_name_Hall '-R 3 2"'
loop_
_atom_site_label
_atom_site_type_symbol
_atom_site_fract_x
_atom_site_fract_y
_atom_site_fract_z
Gd1 Gd 0.0000 0.0000 0.2460
Pd1 Pd 0.0000 0.0000 0.5000
Se1 Se 0.0000 0.0000 0.0000


# Tm4CdIn (PBE-GGA, relaxed)
# energy above the lowest structure with this stoichiometry = 0.000 eV/atom
# ΔH_f (0 K) = -1.5 eV/f.u.
data_Tm4CdIn
_cell_length_a 14.117
_cell_length_b 3.443
_cell_length_c 6.953
_cell_angle_alpha 90.00
_cell_angle_beta 104.27
_cell_angle_gamma 90.00
_space_group_name_H-M_alt 'C 1 2/m 1'
_space_group_IT_number 12
loop_
_space_group_symop_operation_xyz
'x,y,z'
'-x,-y,-z'
'-x,y,-z'
'x,-y,z'
'x+1/2,y+1/2,z'
'-x+1/2,-y+1/2,-z'
'-x+1/2,y+1/2,-z'
'x+1/2,-y+1/2,z'
loop_
_atom_site_label
_atom_site_type_symbol
_atom_site_fract_x
_atom_site_fract_y
_atom_site_fract_z
Tm1 Tm 0.158 0.000 0.329
Tm2 Tm 0.159 0.000 0.829
Cd1 Cd 0.000 0.500 0.500
In1 In 0.000 0.500 0.000


# Ce3SeI7 (PBE-GGA, relaxed)
# E_form (uncorrected) = -1.398 eV/atom
data_Ce3SeI7
_cell_length_a 9.1238
_cell_length_b 9.1238
_cell_length_c 7.4277
_cell_angle_alpha 90.00
_cell_angle_beta 90.00
_cell_angle_gamma 120.00
_space_group_name_H-M_alt 'P 3 m 1'
_space_group_IT_number 156
loop_
_space_group_symop_operation_xyz
'x,y,z'
'-y,x-y,z'
'-x+y,-x,z'
'-y,-x,z'
'-x+y,y,z'
'x,x-y,z'
loop_
_atom_site_label
_atom_site_type_symbol
_atom_site_fract_x
_atom_site_fract_y
_atom_site_fract_z
Ce1 Ce 0.0143 0.5072 0.0000
Se1 Se 0.3333 0.6667 0.8149
I1 I 0.1693 0.3387 0.2491
I2 I 0.3416 0.1708 0.7696
I3 I 0.6667 0.3333 0.2484


# RePd2 (PBE-GGA, relaxed)
# energy above the lowest structure with this stoichiometry = 0.187 eV/atom
# ΔH_f (0 K) = 0.7 eV/f.u.
data_RePd2
_cell_length_a 4.4361
_cell_length_b 4.4361
_cell_length_c 2.6435
_cell_angle_alpha 90.00
_cell_angle_beta 90.00
_cell_angle_gamma 120.00
_space_group_name_H-M_alt 'P -3 m 1'
_space_group_IT_number 164
_space_group_name_Hall '-P 3 2"'
loop_
_atom_site_label
_atom_site_type_symbol
_atom_site_fract_x
_atom_site_fract_y
_atom_site_fract_z
Re1 Re 0.0000 0.0000 0.0000
Pd1 Pd 0.3333 0.6667 0.5039


# RbMnI3 (PBE-GGA, relaxed)
# E_form (uncorrected) = -0.864 eV/atom
data_RbMnI3
_cell_length_a 8.263
_cell_length_b 8.640
_cell_length_c 8.685
_cell_angle_alpha 86.22
_cell_angle_beta 86.41
_cell_angle_gamma 63.14
_space_group_name_H-M_alt 'P 1'
_space_group_IT_number 1
loop_
_space_group_symop_operation_xyz
'x,y,z'
loop_
_atom_site_label
_atom_site_type_symbol
_atom_site_fract_x
_atom_site_fract_y
_atom_site_fract_z
Rb1 Rb 0.000 0.000 0.000
Rb2 Rb 0.236 0.427 0.513
Mn1 Mn 0.531 0.516 0.876
Mn2 Mn 0.792 0.534 0.200
I1 I 0.320 0.767 0.684
I2 I 0.428 0.617 0.179
I3 I 0.541 0.209 0.838
I4 I 0.837 0.786 0.314
I5 I 0.881 0.485 0.885
I6 I 0.966 0.234 0.355


# HfBiTe2I (PBE-GGA, relaxed)
# energy above the lowest structure with this stoichiometry = 0.000 eV/atom
# E_form (uncorrected) = -0.010 eV/atom
data_HfBiTe2I
_cell_length_a 5.606
_cell_length_b 5.606
_cell_length_c 5.546
_cell_angle_alpha 90.00
_cell_angle_beta 90.00
_cell_angle_gamma 90.00
_space_group_name_H-M_alt 'P 4/m m m'
_space_group_IT_number 123
_space_group_name_Hall '-P 4 2'
loop_
_atom_site_label
_atom_site_type_symbol
_atom_site_fract_x
_atom_site_fract_y
_atom_site_fract_z
Hf1 Hf 0.000 0.000 0.000
Bi1 Bi 0.500 0.500 0.500
Te1 Te 0.000 0.500 0.000
I1 I 0.000 0.000 0.500


# CsNiI4 (PBE-GGA, relaxed)
# energy above the lowest structure with this stoichiometry = 0.121 eV/atom
# E_form (uncorrected) = -0.416 eV/atom
data_CsNiI4
_cell_length_a 5.963
_cell_length_b 4.123
_cell_length_c 9.508
_cell_angle_alpha 90.00
_cell_angle_beta 96.11
_cell_angle_gamma 90.00
_space_group_name_H-M_alt 'P 1 2/m 1'
_space_group_IT_number 10
loop_
_space_group_symop_operation_xyz
'x,y,z'
'-x,-y,-z'
'-x,y,-z'
'x,-y,z'
loop_
_atom_site_label
_atom_site_type_symbol
_atom_site_fract_x
_atom_site_fract_y
_atom_site_fract_z
Cs1 Cs 0.000 0.000 0.000
Ni1 Ni 0.000 0.500 0.500
I1 I 0.209 0.000 0.396
I2 I 0.337 0.500 0.750


# YThIr2 (PBE-GGA, relaxed)
# energy above the lowest structure with this stoichiometry = 0.111 eV/atom
# ΔH_f (0 K) = -3.1 eV/f.u.
data_YThIr2
_cell_length_a 4.963
_cell_length_b 4.963
_cell_length_c 3.527
_cell_angle_alpha 90.00
_cell_angle_beta 90.00
_cell_angle_gamma 90.00
_space_group_name_H-M_alt 'P 4/m m m'
_space_group_IT_number 123
_space_group_name_Hall '-P 4 2'
loop_
_atom_site_label
_atom_site_type_symbol
_atom_site_fract_x
_atom_site_fract_y
_atom_site_fract_z
Y1 Y 0.000 0.000 0.000
Th1 Th 0.500 0.500 0.000
Ir1 Ir 0.000 0.500 0.500


# BaZn2Cd (PBE-GGA, relaxed)
# ΔH_f (0 K) = -0.2 eV/f.u.
data_BaZn2Cd
_cell_length_a 3.844
_cell_length_b 3.844
_cell_length_c 7.247
_cell_angle_alpha 90.00
_cell_angle_beta 90.00
_cell_angle_gamma 90.00
_space_group_name_H-M_alt 'P 4/m m m'
_space_group_IT_number 123
_space_group_name_Hall '-P 4 2'
loop_
_atom_site_label
_atom_site_type_symbol
_atom_site_fract_x
_atom_site_fract_y
_atom_site_fract_z
Ba1 Ba 0.000 0.000 0.000
Zn1 Zn 0.500 0.500 0.312
Cd1 Cd 0.000 0.000 0.500


# AcSn4Pd4 (PBE-GGA, relaxed)
# energy above the lowest structure with this stoichiometry = 0.000 eV/atom
# ΔH_f (0 K) = -5.5 eV/f.u.
data_AcSn4Pd4
_cell_length_a 6.722
_cell_length_b 6.722
_cell_length_c 8.987
_cell_angle_alpha 90.00
_cell_angle_beta 90.00
_cell_angle_gamma 90.00
_space_group_name_H-M_alt 'P 42/n m c'
_space_group_IT_number 137
loop_
_space_group_symop_operation_xyz
'x,y,z'
'-x,-y,-z'
'-y+1/2,x,z+1/2'
'y+1/2,-x,-z+1/2'
'-x+1/2,-y+1/2,z'
'x+1/2,y+1/2,-z'
'y,-x+1/2,z+1/2'
'-y,x+1/2,-z+1/2'
'x+1/2,-y,-z'
'-x+1/2,y,z'
'-y,-x,-z+1/2'
'y,x,z+1/2'
'-x,y+1/2,-z'
'x,-y+1/2,z'
'y+1/2,x+1/2,-z+1/2'
'-y+1/2,-x+1/2,z+1/2'
loop_
_atom_site_label
_atom_site_type_symbol
_atom_site_fract_x
_atom_site_fract_y
_atom_site_fract_z
Ac1 Ac 0.250 0.750 0.250
Sn1 Sn 0.016 0.250 0.123
Pd1 Pd 0.042 0.250 0.425


# BeMoPb2 (PBE-GGA, relaxed)
# ΔH_f (0 K) = 3.5 eV/f.u.
data_BeMoPb2
_cell_length_a 4.106
_cell_length_b 4.106
_cell_length_c 9.574
_cell_angle_alpha 90.00
_cell_angle_beta 90.00
_cell_angle_gamma 90.00
_space_group_name_H-M_alt 'I -4 m 2'
_space_group_IT_number 119
_space_group_name_Hall 'I -4 -2'
loop_
_atom_site_label
_atom_site_type_symbol
_atom_site_fract_x
_atom_site_fract_y
_atom_site_fract_z
Be1 Be 0.000 0.000 0.000
Mo1 Mo 0.000 0.500 0.750
Pb1 Pb 0.000 0.000 0.500
Pb2 Pb 0.000 0.500 0.250


# VTcHg2Ir (PBE-GGA, relaxed)
# ΔH_f (0 K) = 8.0 eV/f.u.
data_VTcHg2Ir
_cell_length_a 5.141
_cell_length_b 5.141
_cell_length_c 4.263
_cell_angle_alpha 90.00
_cell_angle_beta 90.00
_cell_angle_gamma 90.00
_space_group_name_H-M_alt 'P 4/m m m'
_space_group_IT_number 123
_space_group_name_Hall '-P 4 2'
loop_
_atom_site_label
_atom_site_type_symbol
_atom_site_fract_x
_atom_site_fract_y
_atom_site_fract_z
V1 V 0.000 0.000 0.000
Tc1 Tc 0.000 0.000 0.500
Hg1 Hg 0.000 0.500 0.500
Ir1 Ir 0.500 0.500 0.000


# TaTe2PdAu (PBE-GGA, relaxed)
# E_form (uncorrected) = 1.350 eV/atom
data_TaTe2PdAu
_cell_length_a 5.337
_cell_length_b 5.337
_cell_length_c 5.046
_cell_angle_alpha 90.00
_cell_angle_beta 90.00
_cell_angle_gamma 90.00
_space_group_name_H-M_alt 'P 4/m m m'
_space_group_IT_number 123
_space_group_name_Hall '-P 4 2'
loop_
_atom_site_label
_atom_site_type_symbol
_atom_site_fract_x
_atom_site_fract_y
_atom_site_fract_z
Ta1 Ta 0.000 0.000 0.000
Te1 Te 0.000 0.500 0.500
Pd1 Pd 0.500 0.500 0.000
Au1 Au 0.000 0.000 0.500